Entry 1:
# NbZnSb2Te | the Alexandria database | PBEsol | relaxed
# V, Å³/cell: 150.4
# Space group: P4/mmm
# ρ, g/cm³: 5.8
# Formation energy (no corrections), eV per atom: 0.437
# Crystal system: tetragonal
data_NbZnSb2Te
_chemical_formula_sum 'Nb1 Zn1 Sb2 Te1'
_cell_length_a 5.281
_cell_length_b 5.336
_cell_length_c 5.336
_cell_angle_alpha 90.00
_cell_angle_beta 90.00
_cell_angle_gamma 90.00
_space_group_name_H-M_alt 'P 1'
_space_group_IT_number 1
_space_group_name_Hall 'P 1'
loop_
_atom_site_label
_atom_site_type_symbol
_atom_site_fract_x
_atom_site_fract_y
_atom_site_fract_z
Sb1 Sb 0.000 0.000 0.500
Sb2 Sb 0.000 0.500 0.000
Nb1 Nb 0.000 0.000 0.000
Te1 Te 0.500 0.000 0.000
Zn1 Zn 0.500 0.500 0.500

=====

Entry 2:
# Rb3OsRh | the Alexandria database | PBEsol | relaxed
# V, Å³/cell: 189.6
# Space group: Pm-3m
# ρ, g/cm³: 4.8
# Electronic total energy, eV per atom: -2.764
# Crystal system: cubic
data_Rb3OsRh
_chemical_formula_sum 'Rb3 Os1 Rh1'
_cell_length_a 5.745
_cell_length_b 5.745
_cell_length_c 5.745
_cell_angle_alpha 90.00
_cell_angle_beta 90.00
_cell_angle_gamma 90.00
_space_group_name_H-M_alt 'P 1'
_space_group_IT_number 1
_space_group_name_Hall 'P 1'
loop_
_atom_site_label
_atom_site_type_symbol
_atom_site_fract_x
_atom_site_fract_y
_atom_site_fract_z
Rh1 Rh 0.000 0.000 0.000
Os1 Os 0.500 0.500 0.500
Rb1 Rb 0.000 0.500 0.000
Rb2 Rb 0.000 0.000 0.500
Rb3 Rb 0.500 0.000 0.000

=====

Entry 3:
# YSbPb2O6 | the Alexandria database | PBEsol | relaxed
# V, Å³/cell: 285.8
# Space group: C2/c
# ρ, g/cm³: 8.4
# Formation energy (no corrections), eV per atom: -1.916
# Distance to the lowest polymorph of the same formula, meV per atom: 0
# Crystal system: monoclinic
data_YSbPb2O6
_chemical_formula_sum 'Y2 Sb2 Pb4 O12'
_cell_length_a 5.830
_cell_length_b 5.863
_cell_length_c 10.161
_cell_angle_alpha 105.99
_cell_angle_beta 90.00
_cell_angle_gamma 119.81
_space_group_name_H-M_alt 'P 1'
_space_group_IT_number 1
_space_group_name_Hall 'P 1'
loop_
_atom_site_label
_atom_site_type_symbol
_atom_site_fract_x
_atom_site_fract_y
_atom_site_fract_z
Y1 Y 0.750 0.000 0.250
Y2 Y 0.250 0.000 0.750
Sb1 Sb 0.000 0.500 0.000
Sb2 Sb 0.500 0.500 0.500
Pb1 Pb 0.353 0.265 0.126
Pb2 Pb 0.088 0.735 0.374
Pb3 Pb 0.647 0.735 0.874
Pb4 Pb 0.912 0.265 0.626
O1 O 0.894 0.195 0.083
O2 O 0.698 0.805 0.417
O3 O 0.106 0.805 0.917
O4 O 0.302 0.195 0.583
O5 O 0.116 0.301 0.848
O6 O 0.815 0.699 0.652
O7 O 0.884 0.699 0.152
O8 O 0.185 0.301 0.348
O9 O 0.327 0.688 0.617
O10 O 0.639 0.312 0.883
O11 O 0.673 0.312 0.383
O12 O 0.361 0.688 0.117

=====

Entry 4:
# Ni2Pt | the Alexandria database | PBEsol | relaxed
# V, Å³/cell: 73.1
# Space group: Cm
# ρ, g/cm³: 14.2
# Electronic total energy, eV per atom: -6.427
# Crystal system: monoclinic
data_Ni2Pt
_chemical_formula_sum 'Ni4 Pt2'
_cell_length_a 2.640
_cell_length_b 4.895
_cell_length_c 6.084
_cell_angle_alpha 104.41
_cell_angle_beta 90.00
_cell_angle_gamma 105.64
_space_group_name_H-M_alt 'P 1'
_space_group_IT_number 1
_space_group_name_Hall 'P 1'
loop_
_atom_site_label
_atom_site_type_symbol
_atom_site_fract_x
_atom_site_fract_y
_atom_site_fract_z
Ni1 Ni 0.002 0.004 0.011
Ni2 Ni 0.388 0.776 0.275
Ni3 Ni 0.671 0.342 0.335
Ni4 Ni 0.331 0.663 0.664
Pt1 Pt 0.048 0.096 0.597
Pt2 Pt 0.726 0.452 0.952

=====

Entry 5:
# CoNiTe4 | the Alexandria database | PBEsol | relaxed
# V, Å³/cell: 130.1
# Space group: C2/m
# ρ, g/cm³: 8.0
# Formation energy (no corrections), eV per atom: -0.259
# Distance to the lowest polymorph of the same formula, meV per atom: 2
# Crystal system: monoclinic
data_CoNiTe4
_chemical_formula_sum 'Co1 Ni1 Te4'
_cell_length_a 3.793
_cell_length_b 6.450
_cell_length_c 6.441
_cell_angle_alpha 61.48
_cell_angle_beta 72.87
_cell_angle_gamma 72.90
_space_group_name_H-M_alt 'P 1'
_space_group_IT_number 1
_space_group_name_Hall 'P 1'
loop_
_atom_site_label
_atom_site_type_symbol
_atom_site_fract_x
_atom_site_fract_y
_atom_site_fract_z
Ni1 Ni 0.500 0.500 0.500
Te1 Te 0.877 0.795 0.451
Te2 Te 0.377 0.285 0.961
Te3 Te 0.123 0.205 0.549
Te4 Te 0.623 0.715 0.039
Co1 Co 0.000 0.000 0.000

=====

Entry 6:
# IrOsPt3 | the Alexandria database | PBEsol | relaxed
# V, Å³/cell: 103.1
# Space group: Pm-3m
# ρ, g/cm³: 15.6
# Electronic total energy, eV per atom: -6.232
# Crystal system: cubic
data_IrOsPt3
_chemical_formula_sum 'Ir1 Os1 Pt3'
_cell_length_a 4.689
_cell_length_b 4.689
_cell_length_c 4.689
_cell_angle_alpha 90.00
_cell_angle_beta 90.00
_cell_angle_gamma 90.00
_space_group_name_H-M_alt 'P 1'
_space_group_IT_number 1
_space_group_name_Hall 'P 1'
loop_
_atom_site_label
_atom_site_type_symbol
_atom_site_fract_x
_atom_site_fract_y
_atom_site_fract_z
Ir1 Ir 0.000 0.000 0.000
Os1 Os 0.500 0.500 0.500
Pt1 Pt 0.000 0.500 0.000
Pt2 Pt 0.000 0.000 0.500
Pt3 Pt 0.500 0.000 0.000

=====

Entry 7:
# YPd2O4 | the Alexandria database | PBEsol | relaxed
# V, Å³/cell: 162.2
# Space group: I4_1/a
# ρ, g/cm³: 7.5
# Formation energy (no corrections), eV per atom: -1.670
# Crystal system: tetragonal
data_YPd2O4
_chemical_formula_sum 'Y2 Pd4 O8'
_cell_length_a 5.712
_cell_length_b 6.406
_cell_length_c 5.712
_cell_angle_alpha 116.48
_cell_angle_beta 90.00
_cell_angle_gamma 116.48
_space_group_name_H-M_alt 'P 1'
_space_group_IT_number 1
_space_group_name_Hall 'P 1'
loop_
_atom_site_label
_atom_site_type_symbol
_atom_site_fract_x
_atom_site_fract_y
_atom_site_fract_z
Y1 Y 0.250 0.500 0.750
Y2 Y 0.000 0.000 0.000
Pd1 Pd 0.625 0.250 0.875
Pd2 Pd 0.125 0.750 0.375
Pd3 Pd 0.625 0.250 0.375
Pd4 Pd 0.625 0.750 0.375
O1 O 0.008 0.395 0.353
O2 O 0.292 0.895 0.758
O3 O 0.603 0.895 0.138
O4 O 0.388 0.395 0.042
O5 O 0.242 0.105 0.397
O6 O 0.958 0.605 0.992
O7 O 0.862 0.105 0.708
O8 O 0.647 0.605 0.612

=====

Entry 8:
# BeCuSi2 | the Alexandria database | PBEsol | relaxed
# V, Å³/cell: 49.1
# Space group: Amm2
# ρ, g/cm³: 4.4
# Formation energy (no corrections), eV per atom: 0.130
# Crystal system: orthorhombic
data_BeCuSi2
_chemical_formula_sum 'Be1 Cu1 Si2'
_cell_length_a 2.438
_cell_length_b 3.270
_cell_length_c 6.278
_cell_angle_alpha 90.00
_cell_angle_beta 101.20
_cell_angle_gamma 90.00
_space_group_name_H-M_alt 'P 1'
_space_group_IT_number 1
_space_group_name_Hall 'P 1'
loop_
_atom_site_label
_atom_site_type_symbol
_atom_site_fract_x
_atom_site_fract_y
_atom_site_fract_z
Be1 Be 0.051 0.000 0.102
Si1 Si 0.834 0.000 0.669
Si2 Si 0.662 0.500 0.325
Cu1 Cu 0.454 0.500 0.907

=====

Entry 9:
# TcSbAs | the Alexandria database | PBEsol | relaxed
# V, Å³/cell: 59.1
# Space group: F-43m
# ρ, g/cm³: 8.3
# Formation energy (no corrections), eV per atom: 0.170
# Distance to the lowest polymorph of the same formula, meV per atom: 178
# Crystal system: cubic
data_TcSbAs
_chemical_formula_sum 'Tc1 Sb1 As1'
_cell_length_a 4.372
_cell_length_b 4.372
_cell_length_c 4.372
_cell_angle_alpha 60.00
_cell_angle_beta 60.00
_cell_angle_gamma 60.00
_space_group_name_H-M_alt 'P 1'
_space_group_IT_number 1
_space_group_name_Hall 'P 1'
loop_
_atom_site_label
_atom_site_type_symbol
_atom_site_fract_x
_atom_site_fract_y
_atom_site_fract_z
Sb1 Sb 0.500 0.500 0.500
As1 As 0.000 0.000 0.000
Tc1 Tc 0.250 0.250 0.250

=====

Entry 10:
# CdInTe2I | the Alexandria database | PBEsol | relaxed
# V, Å³/cell: 180.4
# Space group: P4/mmm
# ρ, g/cm³: 5.6
# Formation energy (no corrections), eV per atom: 0.313
# Crystal system: tetragonal
data_CdInTe2I
_chemical_formula_sum 'Cd1 In1 Te2 I1'
_cell_length_a 5.634
_cell_length_b 5.634
_cell_length_c 5.684
_cell_angle_alpha 90.00
_cell_angle_beta 90.00
_cell_angle_gamma 90.00
_space_group_name_H-M_alt 'P 1'
_space_group_IT_number 1
_space_group_name_Hall 'P 1'
loop_
_atom_site_label
_atom_site_type_symbol
_atom_site_fract_x
_atom_site_fract_y
_atom_site_fract_z
I1 I 0.000 0.000 0.500
Cd1 Cd 0.500 0.500 0.500
Te1 Te 0.000 0.500 0.000
Te2 Te 0.500 0.000 0.000
In1 In 0.000 0.000 0.000

=====

Entry 11:
# BeZnF2 | the Alexandria database | PBEsol | relaxed
# V, Å³/cell: 99.6
# Space group: Fd-3m
# ρ, g/cm³: 3.7
# Formation energy (no corrections), eV per atom: -2.020
# Distance to the lowest polymorph of the same formula, meV per atom: 106
# Crystal system: cubic
data_BeZnF2
_chemical_formula_sum 'Be2 Zn2 F4'
_cell_length_a 5.203
_cell_length_b 5.203
_cell_length_c 5.203
_cell_angle_alpha 60.00
_cell_angle_beta 60.00
_cell_angle_gamma 60.00
_space_group_name_H-M_alt 'P 1'
_space_group_IT_number 1
_space_group_name_Hall 'P 1'
loop_
_atom_site_label
_atom_site_type_symbol
_atom_site_fract_x
_atom_site_fract_y
_atom_site_fract_z
Be1 Be 0.250 0.250 0.250
Be2 Be 0.000 0.000 0.000
Zn1 Zn 0.750 0.750 0.750
Zn2 Zn 0.500 0.500 0.500
F1 F 0.125 0.125 0.625
F2 F 0.125 0.125 0.125
F3 F 0.625 0.125 0.125
F4 F 0.125 0.625 0.125

=====

Entry 12:
# Li3Mn2CoO6 | the Alexandria database | PBEsol | relaxed
# V, Å³/cell: 99.3
# Space group: C2/m
# ρ, g/cm³: 4.8
# Formation energy (no corrections), eV per atom: -1.716
# Distance to the lowest polymorph of the same formula, meV per atom: 17
# Crystal system: monoclinic
data_Li3Mn2CoO6
_chemical_formula_sum 'Li3 Mn2 Co1 O6'
_cell_length_a 2.816
_cell_length_b 5.844
_cell_length_c 6.413
_cell_angle_alpha 105.05
_cell_angle_beta 102.68
_cell_angle_gamma 90.00
_space_group_name_H-M_alt 'P 1'
_space_group_IT_number 1
_space_group_name_Hall 'P 1'
loop_
_atom_site_label
_atom_site_type_symbol
_atom_site_fract_x
_atom_site_fract_y
_atom_site_fract_z
Li1 Li 0.000 0.000 0.000
Li2 Li 0.661 0.334 0.323
Li3 Li 0.339 0.666 0.677
Mn1 Mn 0.663 0.826 0.327
Mn2 Mn 0.337 0.174 0.673
Co1 Co 0.000 0.500 0.000
O1 O 0.171 0.607 0.342
O2 O 0.829 0.393 0.658
O3 O 0.826 0.937 0.652
O4 O 0.174 0.063 0.348
O5 O 0.492 0.242 0.984
O6 O 0.508 0.758 0.016